VASP calculation (PBE) on a geometry-optimized AcTcP structure.

Output
Crystal system ... tetragonal
Energy above the most stable polymorph in this dataset ... 378 meV per atom
Formation enthalpy at 0 K ... -0.328 eV/atom
Raw total energy ... -6.956 eV per atom
D(E_F) ... 2.6 states/eV/f.u.

Geometry as POSCAR:
```
AcTcP
1.0
-1.648 1.648 5.649
1.648 -1.648 5.649
1.648 1.648 -5.649
Ac Tc P
1 1 1
Cartesian
0.000 0.000 0.000
0.000 0.000 3.277
0.000 0.000 7.981
```


VASP calculation (PBE) on a geometry-optimized AcTc2P structure.

Output
Crystal system ... trigonal
Formation enthalpy at 0 K ... -0.244 eV/atom
Raw total energy ... -7.806 eV per atom
D(E_F) ... 3.7 states/eV/f.u.

Geometry as POSCAR:
```
AcTc2P
1.0
2.121 1.224 5.669
-2.121 1.224 5.669
0.000 -2.449 5.669
Ac Tc P
1 2 1
Cartesian
0.000 0.000 0.000
0.000 0.000 3.220
0.000 0.000 13.786
0.000 0.000 8.503
```


VASP calculation (PBE) on a geometry-optimized AcTcP structure.

Output
Crystal system ... hexagonal
Energy above the most stable polymorph in this dataset ... 111 meV per atom
Formation enthalpy at 0 K ... -0.595 eV/atom
Raw total energy ... -7.223 eV per atom
D(E_F) ... 3.1 states/eV/f.u.

Geometry as POSCAR:
```
AcTcP
1.0
4.110 0.000 0.000
-2.055 3.560 0.000
0.000 0.000 4.688
Ac Tc P
1 1 1
Cartesian
0.000 0.000 0.000
2.055 1.187 2.344
0.000 2.373 2.344
```


VASP calculation (PBE) on a geometry-optimized Ac4TeP3 structure.

Output
Crystal system ... orthorhombic
Raw total energy ... -5.972 eV per atom
Energy relative to the elements, uncorrected ... -1.50 eV/atom
D(E_F) ... 2.3 states/eV/f.u.

Geometry as POSCAR:
```
Ac4TeP3
1.0
4.484 0.000 0.000
0.000 6.412 0.000
0.000 0.000 9.090
Ac Te P
4 1 3
Cartesian
0.000 0.000 0.000
0.000 0.000 4.545
2.242 3.206 2.066
2.242 3.206 7.023
0.000 3.206 4.545
0.000 3.206 0.000
2.242 0.000 2.279
2.242 0.000 6.810
```


| no. | V (A^3/atom) |
| --- | --- |
| 1 | 20.46 |
| 2 | 22.08 |
| 3 | 22.86 |
| 4 | 32.67 |